[1]
Computed, not measured: crystalline YTlTc2Rh at its relaxed geometry at the PBE level of DFT.

The structure belongs to space group P4/mmm (No. 123); the cell edges are 5.0232, 5.0232 and 4.9621 Å and the angles 90.00°, 90.00° and 90.00°. The distinct sites, in fractional coordinates, are Y at (0.0000, 0.0000, 0.0000), Tl at (0.5000, 0.5000, 0.5000), Tc at (0.0000, 0.5000, 0.5000) and Rh at (0.5000, 0.5000, 0.0000).


[2]
Computed, not measured: crystalline TlZn2TcRh at its relaxed geometry at the PBE level of DFT.

The structure belongs to space group P4/mmm (No. 123); the cell edges are 4.8346, 4.8346 and 5.1062 Å and the angles 90.00°, 90.00° and 90.00°. The distinct sites, in fractional coordinates, are Tl at (0.0000, 0.0000, 0.0000), Zn at (0.0000, 0.5000, 0.0000), Tc at (0.5000, 0.5000, 0.5000) and Rh at (0.0000, 0.0000, 0.5000).


[3]
Computed, not measured: crystalline Tm8Tc2Rh at its relaxed geometry at the PBE level of DFT.

The energy above the most stable polymorph in this dataset is 52 meV/atom.

The structure belongs to space group Cm (No. 8); the cell edges are 8.2836, 12.6273 and 5.6440 Å and the angles 90.00°, 110.43° and 90.00°. The distinct sites, in fractional coordinates, are Tm at (0.0000, 0.0000, 0.0000), Tm at (0.0699, 0.3700, 0.7950), Tm at (0.1558, 0.1297, 0.5940), Tm at (0.2250, 0.5000, 0.3869), Tm at (0.3633, 0.2120, 0.1943), Tc at (0.3620, 0.3092, 0.6925) and Rh at (0.3627, 0.0000, 0.1841).


[4]
Computed, not measured: crystalline Tm8Tc2Rh at its relaxed geometry at the PBE level of DFT.

The energy above the most stable polymorph in this dataset is 0 meV/atom.

The structure belongs to space group C2/m (No. 12); the cell edges are 17.3922, 4.7011 and 6.8760 Å and the angles 90.00°, 107.72° and 90.00°. The distinct sites, in fractional coordinates, are Tm at (0.0289, 0.0000, 0.2910), Tm at (0.0981, 0.5000, 0.9590), Tm at (0.1684, 0.5000, 0.4617), Tm at (0.2054, 0.0000, 0.8135), Tc at (0.1812, 0.0000, 0.1984) and Rh at (0.0000, 0.5000, 0.5000).


[5]
Computed, not measured: crystalline Tm6TcRh at its relaxed geometry at the PBE level of DFT.

The structure belongs to space group P-31m (No. 162); the cell edges are 6.3277, 6.3277 and 6.0140 Å and the angles 90.00°, 90.00° and 120.00°. The distinct sites, in fractional coordinates, are Tm at (0.0000, 0.3601, 0.2488), Tc at (0.0000, 0.0000, 0.0000) and Rh at (0.0000, 0.0000, 0.5000).


[6]
Computed, not measured: crystalline TmZrTcRh at its relaxed geometry at the PBE level of DFT.

The structure belongs to space group F-43m (No. 216); the cell edges are 6.6579, 6.6579 and 6.6579 Å and the angles 90.00°, 90.00° and 90.00°. The distinct sites, in fractional coordinates, are Tm at (0.0000, 0.0000, 0.0000), Zr at (0.0000, 0.0000, 0.5000), Tc at (0.2500, 0.2500, 0.7500) and Rh at (0.2500, 0.2500, 0.2500).


[7]
Computed, not measured: crystalline UTcRh2 at its relaxed geometry at the PBE level of DFT.

The energy above the most stable polymorph in this dataset is 0 meV/atom.

The structure belongs to space group P4/mmm (No. 123); the cell edges are 3.9709, 3.9709 and 4.1198 Å and the angles 90.00°, 90.00° and 90.00°. The distinct sites, in fractional coordinates, are U at (0.0000, 0.0000, 0.0000), Tc at (0.5000, 0.5000, 0.0000) and Rh at (0.0000, 0.5000, 0.5000).


[8]
Computed, not measured: crystalline UTcRh2 at its relaxed geometry at the PBE level of DFT.

The energy above the most stable polymorph in this dataset is 420 meV/atom.

The structure belongs to space group R-3m (No. 166, hexagonal axes); the cell edges are 4.5077, 4.5077 and 11.6229 Å and the angles 90.00°, 90.00° and 120.00°. The distinct sites, in fractional coordinates, are U at (0.0000, 0.0000, 0.0000), Tc at (0.0000, 0.0000, 0.5000) and Rh at (0.0000, 0.0000, 0.2680).


[9]
Computed, not measured: crystalline UZnTcRh at its relaxed geometry at the PBE level of DFT.

The structure belongs to space group F-43m (No. 216); the cell edges are 6.4574, 6.4574 and 6.4574 Å and the angles 90.00°, 90.00° and 90.00°. The distinct sites, in fractional coordinates, are U at (0.0000, 0.0000, 0.0000), Zn at (0.0000, 0.0000, 0.5000), Tc at (0.2500, 0.2500, 0.7500) and Rh at (0.2500, 0.2500, 0.2500).


[10]
Computed, not measured: crystalline ZrUTcRh at its relaxed geometry at the PBE level of DFT.

The structure belongs to space group F-43m (No. 216); the cell edges are 6.6879, 6.6879 and 6.6879 Å and the angles 90.00°, 90.00° and 90.00°. The distinct sites, in fractional coordinates, are Zr at (0.0000, 0.0000, 0.0000), U at (0.0000, 0.0000, 0.5000), Tc at (0.2500, 0.2500, 0.7500) and Rh at (0.2500, 0.2500, 0.2500).


[11]
Computed, not measured: crystalline V2TcRh at its relaxed geometry at the PBE level of DFT.

The structure belongs to space group P4/mmm (No. 123); the cell edges are 4.2217, 4.2217 and 3.1227 Å and the angles 90.00°, 90.00° and 90.00°. The distinct sites, in fractional coordinates, are V at (0.0000, 0.5000, 0.0000), Tc at (0.0000, 0.0000, 0.5000) and Rh at (0.5000, 0.5000, 0.5000).


[12]
Computed, not measured: crystalline V2TcRh3 at its relaxed geometry at the PBE level of DFT.

The structure belongs to space group Cmmm (No. 65); the cell edges are 4.4946, 13.7664 and 2.7471 Å and the angles 90.00°, 90.00° and 90.00°. The distinct sites, in fractional coordinates, are V at (0.0000, 0.1547, 0.0000), Tc at (0.0000, 0.5000, 0.0000), Rh at (0.0000, 0.0000, 0.5000) and Rh at (0.0000, 0.3154, 0.5000).


Number 1: formation energy from the elements 1.519 eV/atom, E -29.32 eV/cell. Number 2: formation energy from the elements 1.569 eV/atom, E -14.79 eV/cell. Number 3: formation energy from the elements -0.213 eV/atom, E -132.39 eV/cell. Number 4: formation energy from the elements -0.265 eV/atom, E -133.55 eV/cell. Number 5: formation energy from the elements -0.315 eV/atom, E -47.06 eV/cell. Number 6: formation energy from the elements -0.550 eV/atom, E -131.74 eV/cell. Number 7: formation energy from the elements -0.481 eV/atom, E -38.28 eV/cell. Number 8: formation energy from the elements -0.061 eV/atom, E -109.80 eV/cell. Number 9: formation energy from the elements -0.223 eV/atom, E -124.69 eV/cell. Number 10: formation energy from the elements -0.325 eV/atom, E -155.41 eV/cell. Number 11: formation energy from the elements -0.271 eV/atom, E -37.04 eV/cell. Number 12: formation energy from the elements -0.116 eV/atom, E -102.71 eV/cell.